First-principles (GGA-PBE) data for crystalline K3Li2PdF8 at its relaxed geometry, as listed in Alexandria via LeMat-Bulk.

a b c (Å): 5.8064 5.8064 7.5694
angles (deg): 90.00 90.00 120.00
Last column: nearest neighbours and their distance in Å.
Fractional positions:
K  0.3333  0.6667  0.6603  1 F 2.43
K  0.6667  0.3333  0.3397  1 F 2.43
K  0.0000  0.0000  0.0000  12 F 3.05-3.36
Li  0.3333  0.6667  0.2129  4 F 1.75-1.94
Li  0.6667  0.3333  0.7871  4 F 1.75-1.94
Pd  0.0000  0.0000  0.5000  6 F 2.06
F  0.3333  0.6667  0.9820  1 Li 1.75
F  0.6667  0.3333  0.0180  1 Li 1.75
F  0.1648  0.8352  0.3386  1 Li 1.94, 1 Pd 2.06
F  0.8352  0.1648  0.6614  1 Li 1.94, 1 Pd 2.06
F  0.1648  0.3295  0.3386  1 Li 1.94, 1 Pd 2.06
F  0.8352  0.6705  0.6614  1 Li 1.94, 1 Pd 2.06
F  0.6705  0.8352  0.3386  1 Li 1.94, 1 Pd 2.06
F  0.3295  0.1648  0.6614  1 Li 1.94, 1 Pd 2.06

Summary:
The space group is No. 164. Its uncorrected energy is -60.459 eV per formula unit. The size of the total moment is 1.0 μB per formula unit.

First-principles (GGA-PBE) data for crystalline KLi4Pd3F12 at its relaxed geometry, as listed in Alexandria via LeMat-Bulk.

a b c (Å): 6.7549 6.7549 6.7549
angles (deg): 109.47 109.47 109.47
Last column: nearest neighbours and their distance in Å.
Fractional positions:
K  0.0000  0.0000  0.0000  12 F 2.81
Li  0.5000  0.0000  0.0000  6 F 2.09
Li  0.5000  0.5000  0.5000  6 F 2.09
Li  0.0000  0.5000  0.0000  6 F 2.09
Li  0.0000  0.0000  0.5000  6 F 2.09
Pd  0.0000  0.5000  0.5000  4 F 2.00
Pd  0.5000  0.5000  0.0000  4 F 2.00
Pd  0.5000  0.0000  0.5000  4 F 2.00
F  0.3137  0.8231  0.1368  1 Pd 2.00, 2 Li 2.09
F  0.6863  0.1769  0.8632  1 Pd 2.00, 2 Li 2.09
F  0.6863  0.8231  0.5095  1 Pd 2.00, 2 Li 2.09
F  0.8632  0.6863  0.1769  1 Pd 2.00, 2 Li 2.09
F  0.8231  0.1368  0.3137  1 Pd 2.00, 2 Li 2.09
F  0.1769  0.4905  0.3137  1 Pd 2.00, 2 Li 2.09
F  0.4905  0.3137  0.1769  1 Pd 2.00, 2 Li 2.09
F  0.1769  0.8632  0.6863  1 Pd 2.00, 2 Li 2.09
F  0.3137  0.1769  0.4905  1 Pd 2.00, 2 Li 2.09
F  0.1368  0.3137  0.8231  1 Pd 2.00, 2 Li 2.09
F  0.8231  0.5095  0.6863  1 Pd 2.00, 2 Li 2.09
F  0.5095  0.6863  0.8231  1 Pd 2.00, 2 Li 2.09

Summary:
The space group is No. 204. Its uncorrected energy is -88.688 eV per formula unit. The size of the total moment is 1.1 μB per formula unit.

First-principles (GGA-PBE) data for crystalline K2LiPdF4 at its relaxed geometry, as listed in Alexandria via LeMat-Bulk.

a b c (Å): 5.5963 5.5963 5.5963
angles (deg): 106.92 110.76 110.76
Last column: nearest neighbours and their distance in Å.
Fractional positions:
K  0.5000  0.7500  0.2500  4 F 2.59
K  0.0000  0.0000  0.0000  4 F 2.63
Li  0.0000  0.5000  0.5000  4 F 1.94
Pd  0.5000  0.2500  0.7500  4 F 2.23
F  0.6618  0.4878  0.5312  1 Li 1.94
F  0.0434  0.1740  0.5122  1 Li 1.94
F  0.9566  0.4688  0.1306  1 Li 1.94
F  0.3382  0.8694  0.8260  1 Li 1.94

Summary:
The space group is No. 82. Its uncorrected energy is -34.103 eV per formula unit. The size of the total moment is 0.9 μB per formula unit.

First-principles (GGA-PBE) data for crystalline KLi2PdF8 at its relaxed geometry, as listed in Alexandria via LeMat-Bulk.

a b c (Å): 4.9047 4.5257 7.2357
angles (deg): 89.51 89.83 89.11
Last column: nearest neighbours and their distance in Å.
Fractional positions:
K  0.0000  0.0000  0.5000  8 F 2.59-2.80
Li  0.4997  0.5000  0.7660  6 F 2.01-2.23
Li  0.5003  0.5000  0.2340  6 F 2.01-2.23
Pd  0.0000  0.0000  0.0000  6 F 1.95
F  0.1678  0.7593  0.1942  1 Pd 1.95, 1 Li 2.01
F  0.6833  0.7451  0.0002  1 Pd 1.95
F  0.8298  0.2372  0.1928  1 Pd 1.95, 1 Li 2.01
F  0.8322  0.2407  0.8058  1 Pd 1.95, 1 Li 2.01
F  0.3167  0.2549  0.9998  1 Pd 1.95
F  0.1702  0.7628  0.8072  1 Pd 1.95, 1 Li 2.01
F  0.5187  0.7320  0.5006  1 F 2.11, 2 Li 2.18-2.21
F  0.4813  0.2680  0.4994  1 F 2.11, 2 Li 2.18-2.21

Summary:
The space group is No. 2. Its uncorrected energy is -48.940 eV per formula unit. The size of the total moment is 0.3 μB per formula unit.

First-principles (GGA-PBE) data for crystalline KLiPdF5 at its relaxed geometry, as listed in Alexandria via LeMat-Bulk.

a b c (Å): 5.8953 5.8953 8.4708
angles (deg): 106.98 106.98 102.44
Last column: nearest neighbours and their distance in Å.
Fractional positions:
K  0.3225  0.6775  0.2500  7 F 2.64-2.84
K  0.6775  0.3225  0.7500  7 F 2.64-2.84
Li  0.7058  0.2942  0.2500  4 F 1.94-1.95
Li  0.2942  0.7058  0.7500  4 F 1.94-1.95
Pd  0.0000  0.0000  0.5000  6 F 1.99-2.14
Pd  0.0000  0.0000  0.0000  6 F 1.99-2.14
F  0.0351  0.9649  0.2500  2 Pd 2.14
F  0.9649  0.0351  0.7500  2 Pd 2.14
F  0.8819  0.2897  0.0870  1 Li 1.95, 1 Pd 2.01
F  0.1181  0.7103  0.9130  1 Li 1.95, 1 Pd 2.01
F  0.7103  0.1181  0.4130  1 Li 1.95, 1 Pd 2.01
F  0.2897  0.8819  0.5870  1 Li 1.95, 1 Pd 2.01
F  0.7761  0.6440  0.3921  1 Li 1.94, 1 Pd 1.99
F  0.2239  0.3560  0.6079  1 Li 1.94, 1 Pd 1.99
F  0.3560  0.2239  0.1079  1 Li 1.94, 1 Pd 1.99
F  0.6440  0.7761  0.8921  1 Li 1.94, 1 Pd 1.99

Summary:
The space group is No. 15. Its uncorrected energy is -34.725 eV per formula unit. The size of the total moment is 0.0 μB per formula unit.

First-principles (GGA-PBE) data for crystalline K2LiPd3F12 at its relaxed geometry, as listed in Alexandria via LeMat-Bulk.

a b c (Å): 7.3700 7.3700 7.3700
angles (deg): 63.81 63.81 63.81
Last column: nearest neighbours and their distance in Å.
Fractional positions:
K  0.6640  0.6640  0.6640  6 F 2.87-2.99
K  0.3360  0.3360  0.3360  6 F 2.87-2.99
Li  0.0000  0.0000  0.0000  6 F 2.08
Pd  0.5000  0.0000  0.0000  6 F 1.96-2.08
Pd  0.0000  0.5000  0.0000  6 F 1.96-2.08
Pd  0.0000  0.0000  0.5000  6 F 1.96-2.08
F  0.3183  0.3183  0.9469  2 Pd 2.08
F  0.9223  0.9223  0.3279  1 Pd 1.96, 1 Li 2.08
F  0.3279  0.9223  0.9223  1 Pd 1.96, 1 Li 2.08
F  0.9469  0.3183  0.3183  2 Pd 2.08
F  0.9223  0.3279  0.9223  1 Pd 1.96, 1 Li 2.08
F  0.3183  0.9469  0.3183  2 Pd 2.08
F  0.6817  0.6817  0.0531  2 Pd 2.08
F  0.0777  0.0777  0.6721  1 Pd 1.96, 1 Li 2.08
F  0.6721  0.0777  0.0777  1 Pd 1.96, 1 Li 2.08
F  0.0531  0.6817  0.6817  2 Pd 2.08
F  0.0777  0.6721  0.0777  1 Pd 1.96, 1 Li 2.08
F  0.6817  0.0531  0.6817  2 Pd 2.08

Summary:
The space group is No. 166. Its uncorrected energy is -75.230 eV per formula unit. The size of the total moment is 0.0 μB per formula unit.

First-principles (GGA-PBE) data for crystalline K2LiPmF6 at its relaxed geometry, as listed in Alexandria via LeMat-Bulk.

a b c (Å): 6.1109 6.1408 8.6454
angles (deg): 90.00 90.37 90.00
Last column: nearest neighbours and their distance in Å.
Fractional positions:
K  0.0064  0.9714  0.2487  8 F 2.72-3.05
K  0.5064  0.5286  0.7487  8 F 2.72-3.05
K  0.9936  0.0286  0.7513  8 F 2.72-3.05
K  0.4936  0.4714  0.2513  8 F 2.72-3.05
Li  0.5000  0.0000  0.5000  6 F 2.13-2.15
Li  0.0000  0.5000  0.0000  6 F 2.13-2.15
Pm  0.5000  0.0000  0.0000  6 F 2.26
Pm  0.0000  0.5000  0.5000  6 F 2.26
F  0.2778  0.7094  0.0332  1 Li 2.15, 1 Pm 2.26
F  0.7778  0.7906  0.5332  1 Li 2.15, 1 Pm 2.26
F  0.7222  0.2906  0.9668  1 Li 2.15, 1 Pm 2.26
F  0.2222  0.2094  0.4668  1 Li 2.15, 1 Pm 2.26
F  0.2916  0.7220  0.4671  1 Li 2.15, 1 Pm 2.26
F  0.7916  0.7780  0.9671  1 Li 2.15, 1 Pm 2.26
F  0.7084  0.2780  0.5329  1 Li 2.15, 1 Pm 2.26
F  0.2084  0.2220  0.0329  1 Li 2.15, 1 Pm 2.26
F  0.9368  0.5156  0.2423  1 Li 2.13, 1 Pm 2.26
F  0.4368  0.9844  0.7423  1 Li 2.13, 1 Pm 2.26
F  0.0632  0.4844  0.7577  1 Li 2.13, 1 Pm 2.26
F  0.5632  0.0156  0.2577  1 Li 2.13, 1 Pm 2.26

Summary:
The space group is No. 14. Its uncorrected energy is -53.084 eV per formula unit. The size of the total moment is 0.0 μB per formula unit.

First-principles (GGA-PBE) data for crystalline KLi2PmF6 at its relaxed geometry, as listed in Alexandria via LeMat-Bulk.

a b c (Å): 5.6351 5.6286 5.6460
angles (deg): 60.73 59.81 60.21
Last column: nearest neighbours and their distance in Å.
Fractional positions:
K  0.7666  0.7759  0.6918  5 F 2.51-2.74
Li  0.5081  0.5254  0.4521  6 F 2.00-2.17
Li  0.0180  0.0155  0.9424  6 F 2.00-2.17
Pm  0.2341  0.2979  0.1698  6 F 2.27-2.35
F  0.6357  0.2705  0.1972  2 Li 2.14, 1 Pm 2.27
F  0.2399  0.8552  0.2403  2 Li 2.00-2.17
F  0.8242  0.7053  0.1790  2 Li 2.02-2.04
F  0.3276  0.6998  0.7679  2 Li 2.02
F  0.8675  0.2266  0.6128  2 Li 2.00-2.17
F  0.2399  0.2896  0.7621  2 Li 2.02-2.04

Summary:
The space group is No. 8. Its uncorrected energy is -54.251 eV per formula unit. The size of the total moment is 0.1 μB per formula unit.

First-principles (GGA-PBE) data for crystalline KLiPm2F8 at its relaxed geometry, as listed in Alexandria via LeMat-Bulk.

a b c (Å): 4.0158 5.9540 7.8077
angles (deg): 97.27 89.96 90.17
Last column: nearest neighbours and their distance in Å.
Fractional positions:
K  0.0000  0.0000  0.5000  8 F 2.62-2.73
Li  0.0000  0.0000  0.0000  2 F 1.90
Pm  0.4997  0.5415  0.7588  8 F 2.30-2.50
Pm  0.5003  0.4585  0.2412  8 F 2.30-2.50
F  0.0012  0.6483  0.2601  2 Pm 2.30
F  0.5030  0.7325  0.0360  2 Pm 2.31-2.43, 1 Li 2.59
F  0.9985  0.2069  0.2067  1 Li 1.90
F  0.9988  0.3517  0.7399  2 Pm 2.30
F  0.4970  0.2675  0.9640  2 Pm 2.31-2.43, 1 Li 2.59
F  0.0015  0.7931  0.7933  1 Li 1.90
F  0.5001  0.7177  0.5109  2 Pm 2.32-2.45, 1 F 2.58
F  0.4999  0.2823  0.4891  2 Pm 2.32-2.45, 1 F 2.58

Summary:
The space group is No. 2. Its uncorrected energy is -71.550 eV per formula unit. The size of the total moment is 0.0 μB per formula unit.